[1]
This record from Alexandria describes an optimized crystal structure of NaGeP. The functional is PBEsol.

a b c (Å): 3.604 3.604 6.059
angles (deg): 72.70 72.70 60.00
Fractional coordinates of all 3 atoms:
P 0.125 0.125 0.625
Ge 0.528 0.528 0.417
Na 0.333 0.333 0.002

Results
The energy relative to the elements is -0.8 eV per formula unit. For the total energy, the calculation gives -13.0 eV per formula unit. Its density is 3.28 Mg/m³. The space-group type is R3m, No. 160.

---

[2]
This record from Alexandria describes an optimized crystal structure of FeNi. The functional is PBEsol.

a b c (Å): 3.589 3.589 3.589
angles (deg): 60.00 60.00 60.00
Last column: magnetic moment on the atom in μB.
Fractional coordinates of all 2 atoms:
Fe 0.000 0.000 0.000  2.82
Ni 0.250 0.250 0.250  0.79

Results
The energy relative to the elements is 2.8 eV per formula unit. For the total energy, the calculation gives -12.4 eV per formula unit. Its density is 5.82 Mg/m³. The density of states at the Fermi level is 0.8388 states/eV/atom. The space-group type is F-43m, No. 216.

---

[3]
This record from Alexandria describes an optimized crystal structure of Ca2CdO. The functional is PBEsol.

a b c (Å): 4.976 4.976 4.976
angles (deg): 60.00 60.00 60.00
Fractional coordinates of all 4 atoms:
Ca 0.250 0.250 0.250
Ca 0.750 0.750 0.750
O 0.000 0.000 0.000
Cd 0.500 0.500 0.500

Results
For the total energy, the calculation gives -12.8 eV per formula unit. Its density is 3.97 Mg/m³. The density of states at the Fermi level is 0.8074 states/eV/atom. The space-group type is Fm-3m, No. 225.

---

[4]
This record from Alexandria describes an optimized crystal structure of LiPbAu2. The functional is PBEsol.

a b c (Å): 4.243 4.243 5.107
angles (deg): 114.55 114.55 90.00
Fractional coordinates of all 4 atoms:
Pb 0.250 0.750 0.500
Au 0.000 0.000 0.000
Au 0.750 0.250 0.500
Li 0.500 0.500 0.000

Results
The energy relative to the elements is -1.0 eV per formula unit. For the total energy, the calculation gives -14.8 eV per formula unit. Its density is 13.57 Mg/m³. The density of states at the Fermi level is 0.2767 states/eV/atom. The space-group type is I-4m2, No. 119.

---

[5]
This record from Alexandria describes an optimized crystal structure of CaLa2Tc. The functional is PBEsol.

a b c (Å): 4.886 5.427 4.886
angles (deg): 63.25 90.00 116.75
Fractional coordinates of all 4 atoms:
Ca 0.750 0.500 0.750
Tc 0.500 0.000 0.500
La 0.000 0.000 0.000
La 0.250 0.500 0.250

Results
The energy relative to the elements is 1.8 eV per formula unit. For the total energy, the calculation gives -22.3 eV per formula unit. Its density is 6.91 Mg/m³. The density of states at the Fermi level is 1.1222 states/eV/atom. The space-group type is I-4m2, No. 119.

---

[6]
This record from Alexandria describes an optimized crystal structure of Li2Al2P2O9F. The functional is PBEsol.

a b c (Å): 5.097 5.154 6.957
angles (deg): 107.74 107.09 98.13
Last column: magnetic moment on the atom in μB.
Fractional coordinates of all 16 atoms:
Li 0.733 0.373 0.740  0.00
Li 0.263 0.621 0.252  0.00
Al 0.004 0.005 0.999  -0.01
Al 0.995 0.998 0.503  -0.01
P 0.676 0.360 0.255  0.00
P 0.323 0.641 0.744  0.00
O 0.138 0.684 0.886  0.02
O 0.878 0.322 0.128  0.01
O 0.691 0.677 0.361  0.05
O 0.301 0.321 0.643  0.07
O 0.363 0.240 0.108  0.05
O 0.642 0.762 0.882  0.10
O 0.240 0.765 0.567  0.01
O 0.750 0.225 0.427  0.03
O 0.922 0.077 0.752  0.55
F 0.079 0.926 0.251  0.00

Results
For the total energy, the calculation gives -113.5 eV per formula unit. Its density is 3.02 Mg/m³. The density of states at the Fermi level is 0.0069 states/eV/atom. The space-group type is P1, No. 1.

---

[7]
This record from Alexandria describes an optimized crystal structure of YPtAu2. The functional is PBEsol.

a b c (Å): 4.066 4.066 5.249
angles (deg): 112.79 112.79 90.00
Fractional coordinates of all 4 atoms:
Y 0.500 0.500 0.000
Au 0.750 0.250 0.500
Au 0.250 0.750 0.500
Pt 0.000 0.000 0.000

Results
The energy relative to the elements is -3.1 eV per formula unit. For the total energy, the calculation gives -24.8 eV per formula unit. Its density is 15.51 Mg/m³. The density of states at the Fermi level is 0.3663 states/eV/atom. The space-group type is I4/mmm, No. 139.

---

[8]
This record from Alexandria describes an optimized crystal structure of LiZn2Ag. The functional is PBEsol.

a b c (Å): 2.719 4.321 5.070
angles (deg): 90.00 99.01 90.00
Fractional coordinates of all 4 atoms:
Zn 0.897 0.000 0.987
Zn 0.863 0.500 0.258
Ag 0.483 0.000 0.484
Li 0.258 0.500 0.770

Results
The energy relative to the elements is -0.5 eV per formula unit. For the total energy, the calculation gives -9.0 eV per formula unit. Its density is 6.93 Mg/m³. The density of states at the Fermi level is 0.3193 states/eV/atom. The space-group type is Pm, No. 6.